[1]
A plane-wave DFT calculation with GGA-PBE was carried out for a relaxed structure of Th3Pt5.

Values from the calculation:
**Total moment**: 0.0 μB per formula unit
**ΔH_f (0 K)**: -0.83 eV per atom
**Electronic total energy**: -7.395 eV/atom

a b c (Å): 7.718 7.718 3.584
angles (deg): 90.00 90.00 120.00
Atoms (fractional coordinates):
Th (0.000, 0.723, 0.000)
Th (0.277, 0.277, 0.000)
Th (0.723, 0.000, 0.000)
Pt (0.000, 0.339, 0.500)
Pt (0.333, 0.667, 0.000)
Pt (0.339, 0.000, 0.500)
Pt (0.661, 0.661, 0.500)
Pt (0.667, 0.333, 0.000)

[2]
A plane-wave DFT calculation with GGA-PBE was carried out for a relaxed structure of ThPt.

Values from the calculation:
**Total moment**: 0.0 μB per formula unit
**ΔH_f (0 K)**: -0.52 eV per atom
**Electronic total energy**: -7.256 eV/atom

a b c (Å): 4.608 4.608 4.608
angles (deg): 60.00 60.00 60.00
Atoms (fractional coordinates):
Th (0.000, 0.000, 0.000)
Pt (0.250, 0.250, 0.250)

[3]
A plane-wave DFT calculation with GGA-PBE was carried out for a relaxed structure of ThPt.

Values from the calculation:
**Total moment**: 0.0 μB per formula unit
**ΔH_f (0 K)**: -0.95 eV per atom
**Electronic total energy**: -7.686 eV/atom

a b c (Å): 3.725 3.725 4.083
angles (deg): 90.00 90.00 120.00
Atoms (fractional coordinates):
Th (0.000, 0.000, 0.000)
Pt (0.333, 0.667, 0.500)